# 1
A plane-wave DFT calculation with meta-GGA SCAN was carried out for MnH2Se at its PBEsol-relaxed geometry.

Output
* M_tot: 3.5 μB/f.u.
* final energy: -11.095 eV/atom

a = 3.5955 Å, b = 3.5955 Å, c = 6.7612 Å
α = 105.42°, β = 105.42°, γ = 90.00°
Site moments in Bohr magnetons follow the coordinates.
Sites, in units of the cell vectors:
1 H 0.6250 0.3750 0.7500  -0.09
2 H 0.1250 0.3750 0.7500  -0.09
3 H 0.6250 0.8750 0.2500  -0.09
4 H 0.6250 0.3750 0.2500  -0.09
5 Mn 0.5000 0.5000 0.0000  3.65
6 Mn 0.7500 0.2500 0.5000  3.65
7 Se 0.0000 0.0000 0.0000  -0.04
8 Se 0.2500 0.7500 0.5000  -0.04

# 2
A plane-wave DFT calculation with meta-GGA SCAN was carried out for Mn2HSe at its PBEsol-relaxed geometry.

Output
* M_tot: 3.4 μB/f.u.
* final energy: -14.560 eV/atom

a = 3.8723 Å, b = 3.8723 Å, c = 3.8723 Å
α = 60.00°, β = 60.00°, γ = 60.00°
Site moments in Bohr magnetons follow the coordinates.
Sites, in units of the cell vectors:
1 H 0.0000 0.0000 0.0000  -0.04
2 Mn 0.2500 0.2500 0.2500  1.76
3 Mn 0.7500 0.7500 0.7500  1.76
4 Se 0.5000 0.5000 0.5000  -0.19

# 3
A plane-wave DFT calculation with meta-GGA SCAN was carried out for MnHSe2 at its PBEsol-relaxed geometry.

Output
* M_tot: 4.0 μB/f.u.
* E above lowest polymorph: 11.2 meV/atom
* final energy: -15.837 eV/atom

a = 3.6098 Å, b = 3.6098 Å, c = 6.5360 Å
α = 73.97°, β = 73.97°, γ = 60.00°
Site moments in Bohr magnetons follow the coordinates.
Sites, in units of the cell vectors:
1 H 0.0000 0.0000 0.0000  0.03
2 Mn 0.5000 0.5000 0.5000  3.88
3 Se 0.9054 0.9054 0.2839  -0.05
4 Se 0.0946 0.0946 0.7161  -0.05

# 4
A plane-wave DFT calculation with meta-GGA SCAN was carried out for MnSi2H2 at its PBEsol-relaxed geometry.

Output
* M_tot: 0.0 μB/f.u.
* final energy: -8.672 eV/atom

a = 2.8081 Å, b = 5.4098 Å, c = 5.4098 Å
α = 90.00°, β = 90.00°, γ = 90.00°
Sites, in units of the cell vectors:
1 H 0.0000 0.3097 0.8097
2 H 0.0000 0.8097 0.6903
3 H 0.0000 0.6903 0.1903
4 H 0.0000 0.1903 0.3097
5 Si 0.5000 0.1539 0.6539
6 Si 0.5000 0.6539 0.8461
7 Si 0.5000 0.8461 0.3461
8 Si 0.5000 0.3461 0.1539
9 Mn 0.0000 0.0000 0.0000
10 Mn 0.0000 0.5000 0.5000

Repeat the fourth record exactly.
A plane-wave DFT calculation with meta-GGA SCAN was carried out for MnSi2H2 at its PBEsol-relaxed geometry.

Output
* M_tot: 0.0 μB/f.u.
* final energy: -8.672 eV/atom

a = 2.8081 Å, b = 5.4098 Å, c = 5.4098 Å
α = 90.00°, β = 90.00°, γ = 90.00°
Sites, in units of the cell vectors:
1 H 0.0000 0.3097 0.8097
2 H 0.0000 0.8097 0.6903
3 H 0.0000 0.6903 0.1903
4 H 0.0000 0.1903 0.3097
5 Si 0.5000 0.1539 0.6539
6 Si 0.5000 0.6539 0.8461
7 Si 0.5000 0.8461 0.3461
8 Si 0.5000 0.3461 0.1539
9 Mn 0.0000 0.0000 0.0000
10 Mn 0.0000 0.5000 0.5000

Q: The lowest M_tot belongs to which entry?
A: MnSi2H2

Q: The highest M_tot belongs to which entry?
A: MnHSe2